Crystalline TaAl2Tl at its relaxed geometry. Source: Alexandria via LeMat-Bulk, functional GGA-PBE.

Calculated values
V in Å³ per cell: 80.5
E_tot in eV per atom: -5.304
Energy of formation from the pure elements in eV per atom: 0.12
DOS(E_F) in states/eV/atom: 0.8833

Cell lengths 2.951, 2.951, 9.247 Å; angles 90.00, 90.00, 90.00 degrees
Fractional positions:
Ta: 0.000 0.000 0.000
Al: 0.500 0.500 0.211
Al: 0.500 0.500 0.789
Tl: 0.000 0.000 0.500